TiTl: optimized geometry, GGA-PBE.

Values from the calculation:
magnetic moment = 0.002 μB/f.u.
electronic total energy = -4.30 eV/atom
space-group type = P6_3/mmc (194)

Unit cell a=4.8410 b=4.8410 c=5.5288 alpha=90.00 beta=90.00 gamma=120.00
Closest atoms and distances in Å follow each position.
Positions (direct):
Tl: 0.3333 0.6667 0.7500  5 Ti 2.76-2.79
Tl: 0.6667 0.3333 0.2500  5 Ti 2.76-2.79
Ti: 0.6667 0.3333 0.7500  5 Tl 2.76-2.79
Ti: 0.3333 0.6667 0.2500  5 Tl 2.76-2.79